First-principles (PBE-GGA) data for a geometry-optimized Sr2SnHg4Sb2 structure, as listed in Alexandria via LeMat-Bulk.

The electronic total energy is -2.226 eV per atom. The calculation puts the formation energy from raw total energies at -34 kJ/mol of atoms. The total magnetic moment is 0.0 μB/cell. As for the crystal system: tetragonal.

Lattice parameters (Å, degrees): 7.0344 7.0344 11.2637 90.00 90.00 90.00
Space group I4/mmm (No. 139)
Inequivalent atoms, fractional coordinates:
Sr: 0.0000 0.5000 0.2500 x4
Sn: 0.0000 0.0000 0.0000 x2
Hg: 0.2119 0.2119 0.5000 x8
Sb: 0.0000 0.0000 0.2684 x4